A plane-wave DFT calculation with SCAN was carried out for a PBEsol-optimized structure of LaBeIn.

```
3
Lattice="-1.6514 1.6514 5.9740 1.6514 -1.6514 5.9740 1.6514 1.6514 -5.9740" Properties=species:S:1:pos:R:3 pbc="T T T"
La 0.0000 0.0000 0.0000
Be 0.0000 0.0000 7.9786
In 0.0000 0.0000 3.4313
```

Summary:
Excess energy over the best structure of this formula in the dataset: 232.9 meV/atom

***

A plane-wave DFT calculation with SCAN was carried out for a PBEsol-optimized structure of Li2BeIn.

```
4
Lattice="3.5167 0.0000 0.0000 0.0000 4.0148 0.0000 0.0000 0.0000 4.2636" Properties=species:S:1:pos:R:3 pbc="T T T"
Li 0.0000 0.0000 0.0000
Li 1.7583 2.0074 0.0000
Be 0.0000 2.0074 2.1318
In 1.7583 0.0000 2.1318
```

Summary:
Excess energy over the best structure of this formula in the dataset: 0.0 meV/atom

***

no.,ΔE_f (meV per atom)
1,-59
2,-2